Density functional theory data (PBE) for crystalline DyCoIr at its relaxed geometry.

a b c (Å): 4.0615 4.0615 3.9814
angles (deg): 90.00 90.00 120.00
Last column: nearest neighbours and their distance in Å.
Element x y z (fractional)
1 Dy 0.0000 0.0000 0.0000  6 Ir 3.08, 6 Co 3.08
2 Co 0.6667 0.3333 0.5000  3 Ir 2.34
3 Ir 0.3333 0.6667 0.5000  3 Co 2.34

Computed properties:
**Calculated formation energy**: -0.447 eV/atom
**VASP energy**: -7.304 eV per atom

***

Density functional theory data (PBE) for crystalline PrSmY2Ho5 at its relaxed geometry.

a b c (Å): 10.2922 10.2922 10.6279
angles (deg): 90.00 90.00 148.23
Last column: nearest neighbours and their distance in Å.
Element x y z (fractional)
1 Pr 0.0823 0.9177 0.5000  5 Ho 3.08-3.25
2 Pr 0.9177 0.0823 0.0000  5 Ho 3.08-3.25
3 Sm 0.2975 0.7025 0.0593  2 Y 3.47-3.74, 8 Ho 3.51-3.74, 2 Pr 3.74
4 Sm 0.7025 0.2975 0.5593  2 Y 3.47-3.74, 8 Ho 3.51-3.74, 2 Pr 3.74
5 Y 0.3864 0.6136 0.3693  9 Ho 3.35-3.65, 1 Sm 3.74
6 Y 0.3898 0.6102 0.7819  7 Ho 3.36-3.73, 1 Sm 3.47, 2 Pr 3.69
7 Y 0.6102 0.3898 0.2819  7 Ho 3.36-3.73, 1 Sm 3.47, 2 Pr 3.69
8 Y 0.6136 0.3864 0.8693  9 Ho 3.35-3.65, 1 Sm 3.74
9 Ho 0.0218 0.9782 0.7839  2 Pr 3.09-3.25, 1 Ho 3.44
10 Ho 0.1088 0.8912 0.0709  6 Ho 3.44-3.82, 4 Y 3.54-3.60, 1 Sm 3.74
11 Ho 0.2019 0.7981 0.7563  4 Ho 3.41-3.82, 3 Sm 3.51-3.73, 3 Y 3.53-3.73, 1 Pr 3.61
12 Ho 0.2175 0.7825 0.3576  1 Pr 3.08, 1 Y 3.35, 2 Ho 3.41
13 Ho 0.4815 0.5185 0.0751  2 Pr 3.19, 2 Y 3.36-3.41
14 Ho 0.5185 0.4815 0.5751  2 Pr 3.19, 2 Y 3.36-3.41
15 Ho 0.7825 0.2175 0.8576  1 Pr 3.08, 1 Y 3.35, 2 Ho 3.41
16 Ho 0.7981 0.2019 0.2563  4 Ho 3.41-3.82, 3 Sm 3.51-3.73, 3 Y 3.53-3.73, 1 Pr 3.61
17 Ho 0.8912 0.1088 0.5709  6 Ho 3.44-3.82, 4 Y 3.54-3.60, 1 Sm 3.74
18 Ho 0.9782 0.0218 0.2839  2 Pr 3.09-3.25, 1 Ho 3.44

Computed properties:
**Calculated formation energy**: 0.157 eV/atom
**VASP energy**: -4.878 eV per atom

***

Density functional theory data (PBE) for crystalline Hf6Tl2Re at its relaxed geometry.

a b c (Å): 8.1748 8.1748 3.4255
angles (deg): 90.00 90.00 120.00
Last column: nearest neighbours and their distance in Å.
Element x y z (fractional)
1 Hf 0.0000 0.2556 0.0000  2 Re 2.70
2 Hf 0.0000 0.6332 0.5000  1 Re 3.00, 4 Tl 3.11, 4 Hf 3.17
3 Hf 0.2556 0.0000 0.0000  2 Re 2.70
4 Hf 0.3668 0.3668 0.5000  1 Re 3.00, 4 Tl 3.11, 4 Hf 3.17
5 Hf 0.6332 0.0000 0.5000  1 Re 3.00, 4 Tl 3.11, 4 Hf 3.17
6 Hf 0.7444 0.7444 0.0000  2 Re 2.70
7 Tl 0.3333 0.6667 0.0000  9 Hf 3.09-3.11, 2 Tl 3.43
8 Tl 0.6667 0.3333 0.0000  9 Hf 3.09-3.11, 2 Tl 3.43
9 Re 0.0000 0.0000 0.5000  9 Hf 2.70-3.00

Computed properties:
**Calculated formation energy**: -0.058 eV/atom
**VASP energy**: -8.603 eV per atom

***

Density functional theory data (PBE) for crystalline RbAgGe2 at its relaxed geometry.

a b c (Å): 3.6806 3.6806 7.6841
angles (deg): 90.00 90.00 90.00
Last column: nearest neighbours and their distance in Å.
Element x y z (fractional)
1 Rb 0.0000 0.0000 0.0000  8 Ge 3.68, 4 Rb 3.68, 2 Ag 3.84
2 Ag 0.0000 0.0000 0.5000  8 Ge 2.89
3 Ge 0.5000 0.5000 0.3377  1 Ge 2.49
4 Ge 0.5000 0.5000 0.6623  1 Ge 2.49

Computed properties:
**Energy above the lowest structure with this stoichiometry**: 104 meV/atom
**Calculated formation energy**: 0.108 eV/atom
**VASP energy**: -3.156 eV per atom

***

- What is the formula in the second record?
  PrSmY2Ho5